Entry 1:
Density functional theory data (PBE) for an optimized crystal structure of KSc2SnTe.

Properties
uncorrected formation energy	0.009	eV per atom
raw total energy	-4.17	eV per atom

abc: 5.4089 5.9100 5.4089
angles: 90.00 90.00 90.00
Atoms (fractional coordinates):
K  0.0000  0.5000  0.0000
Sn  0.5000  0.5000  0.5000
Sc  0.5000  0.0000  0.0000
Sc  0.0000  0.0000  0.5000
Te  0.0000  0.0000  0.0000



Entry 2:
Density functional theory data (PBE) for an optimized crystal structure of K3Tl4Cd2.

Properties
energy of formation	-81	meV/atom
energy relative to the lowest polymorph listed for this composition	13	meV per atom
raw total energy	-1.70	eV per atom

abc: 5.2228 7.0360 10.8296
angles: 67.34 75.85 68.35
Atoms (fractional coordinates):
K  0.6150  0.1427  0.6250
K  0.3850  0.8573  0.3750
K  0.0000  0.0000  0.0000
Tl  0.9063  0.5575  0.6328
Tl  0.2969  0.3365  0.0702
Tl  0.0937  0.4425  0.3672
Tl  0.7031  0.6635  0.9298
Cd  0.3059  0.6275  0.7618
Cd  0.6941  0.3725  0.2382



Entry 3:
Density functional theory data (PBE) for an optimized crystal structure of PuTlO4.

Properties
uncorrected formation energy	-1.946	eV per atom
energy relative to the lowest polymorph listed for this composition	0	meV per atom
raw total energy	-8.03	eV per atom

abc: 5.8115 5.8726 6.5007
angles: 79.20 90.00 90.00
Atoms (fractional coordinates):
Tl  0.5000  0.5000  0.0000
Tl  0.0000  0.0000  0.0000
O  0.0998  0.4637  0.7752
O  0.3059  0.2750  0.4205
O  0.6941  0.7250  0.5795
O  0.9002  0.5363  0.2248
O  0.4002  0.9637  0.7752
O  0.5998  0.0363  0.2248
O  0.8059  0.2250  0.5795
O  0.1941  0.7750  0.4205
Pu  0.5000  0.0000  0.5000
Pu  0.0000  0.5000  0.5000



Entry 4:
Density functional theory data (PBE) for an optimized crystal structure of Cs14Nd2Se9.

Properties
uncorrected formation energy	-1.172	eV per atom
raw total energy	-3.29	eV per atom

abc: 10.2023 10.2023 14.2074
angles: 90.00 90.00 120.00
Atoms (fractional coordinates):
Se  0.2828  0.9014  0.3390
Se  0.3813  0.2828  0.6610
Se  0.0986  0.3813  0.3390
Se  0.0000  0.0000  0.0000
Se  0.7172  0.0986  0.6610
Se  0.6667  0.3333  0.9288
Se  0.6187  0.7172  0.3390
Se  0.3333  0.6667  0.0712
Se  0.9014  0.6187  0.6610
Cs  0.3689  0.0492  0.0930
Cs  0.9051  0.6013  0.4018
Cs  0.3987  0.3038  0.4018
Cs  0.0000  0.0000  0.2519
Cs  0.3038  0.9051  0.5982
Cs  0.0492  0.6803  0.9070
Cs  0.3197  0.3689  0.9070
Cs  0.6803  0.6311  0.0930
Cs  0.6962  0.0949  0.4018
Cs  0.0000  0.0000  0.7481
Cs  0.9508  0.3197  0.0930
Cs  0.0949  0.3987  0.5982
Cs  0.6311  0.9508  0.9070
Cs  0.6013  0.6962  0.5982
Nd  0.3333  0.6667  0.2713
Nd  0.6667  0.3333  0.7287



Entry 5:
Density functional theory data (PBE) for an optimized crystal structure of RbNaH6Pt.

Properties
raw total energy	-3.50	eV per atom

abc: 5.3625 5.3625 5.5167
angles: 90.00 90.00 59.98
Atoms (fractional coordinates):
H  0.0876  0.5796  0.6790
H  0.3328  0.5794  0.3208
H  0.5796  0.0877  0.3210
H  0.0879  0.3327  0.3208
H  0.5793  0.3328  0.6792
H  0.3327  0.0879  0.6792
Rb  0.0000  0.0000  0.0000
Pt  0.3333  0.3334  0.5000
Na  0.6666  0.6666  0.5000



Entry 6:
Density functional theory data (PBE) for an optimized crystal structure of SiWI2.

Properties
uncorrected formation energy	1.321	eV per atom
energy relative to the lowest polymorph listed for this composition	632	meV per atom
raw total energy	-4.05	eV per atom

abc: 4.9179 4.9179 4.9179
angles: 60.00 60.00 60.00
Atoms (fractional coordinates):
Si  0.0000  0.0000  0.0000
W  0.5000  0.5000  0.5000
I  0.7500  0.7500  0.7500
I  0.2500  0.2500  0.2500